Entry 1:
! YCrP2 | the Alexandria database | GGA-PBE | optimized geometry; values from VASP
&SYSTEM
  ibrav = 0, nat = 4, ntyp = 3
/
ATOMIC_SPECIES
Y 88.91 Y.upf
Cr 52.00 Cr.upf
P 30.97 P.upf
ATOMIC_POSITIONS angstrom
Y 0.000 0.000 0.000
Cr 2.194 0.000 2.892
P 0.008 0.000 4.059
P 4.380 0.000 1.725
CELL_PARAMETERS angstrom
3.283 -1.893 0.000
3.283 1.893 0.000
-2.179 0.000 5.784
! energy of formation: -0.91 eV/atom
! total DFT energy (no corrections): -7.63 eV per atom

***

Entry 2:
! BaPt2Se | the Alexandria database | GGA-PBE | optimized geometry; values from VASP
&SYSTEM
  ibrav = 0, nat = 4, ntyp = 3
/
ATOMIC_SPECIES
Ba 137.33 Ba.upf
Pt 195.08 Pt.upf
Se 78.96 Se.upf
ATOMIC_POSITIONS angstrom
Ba 0.000 0.000 0.000
Pt 0.000 0.000 3.198
Pt 0.000 0.000 13.200
Se 0.000 0.000 8.199
CELL_PARAMETERS angstrom
2.301 1.329 5.466
-2.301 1.329 5.466
0.000 -2.657 5.466
! total DFT energy (no corrections): -4.92 eV per atom
! energy relative to the elements, uncorrected: -0.547 eV per atom

***

Entry 3:
! Zr4As | the Alexandria database | GGA-PBE | optimized geometry; values from VASP
&SYSTEM
  ibrav = 0, nat = 5, ntyp = 2
/
ATOMIC_SPECIES
Zr 91.22 Zr.upf
As 74.92 As.upf
ATOMIC_POSITIONS angstrom
Zr 0.000 0.000 0.000
Zr 0.000 2.512 2.512
Zr 2.512 0.000 2.512
Zr 2.512 2.512 0.000
As 2.512 2.512 2.512
CELL_PARAMETERS angstrom
5.024 0.000 0.000
0.000 5.024 0.000
0.000 0.000 5.024
! energy of formation: 0.00 eV/atom
! total DFT energy (no corrections): -7.77 eV per atom

***

Entry 4:
! HfZrGe2O8 | the Alexandria database | GGA-PBE | optimized geometry; values from VASP
&SYSTEM
  ibrav = 0, nat = 12, ntyp = 4
/
ATOMIC_SPECIES
Hf 178.49 Hf.upf
Zr 91.22 Zr.upf
Ge 72.64 Ge.upf
O 16.00 O.upf
ATOMIC_POSITIONS angstrom
Hf 0.000 0.000 0.000
Zr 3.379 0.000 1.579
Ge 0.000 0.000 3.158
Ge 0.000 3.379 1.579
O 2.127 3.379 -1.239
O 1.252 0.000 1.919
O 0.000 2.106 0.358
O 3.379 2.127 1.239
O 0.000 4.653 0.358
O 0.000 1.252 4.397
O -1.274 3.379 2.800
O 1.274 3.379 2.800
CELL_PARAMETERS angstrom
-3.379 3.379 3.158
3.379 -3.379 3.158
3.379 3.379 -3.158
! total DFT energy (no corrections): -8.16 eV per atom
! energy relative to the elements, uncorrected: -2.545 eV per atom

***

Entry 5:
! K2CaBe | the Alexandria database | GGA-PBE | optimized geometry; values from VASP
&SYSTEM
  ibrav = 0, nat = 4, ntyp = 3
/
ATOMIC_SPECIES
K 39.10 K.upf
Ca 40.08 Ca.upf
Be 9.01 Be.upf
ATOMIC_POSITIONS angstrom
K 0.000 0.000 0.000
K 1.980 1.980 3.978
Ca 1.980 1.980 7.535
Be 0.000 0.000 6.358
CELL_PARAMETERS angstrom
3.960 0.000 0.000
0.000 3.960 0.000
0.000 0.000 10.777
! energy of formation: 0.43 eV/atom
! total DFT energy (no corrections): -1.55 eV per atom

***

Entry 6:
! LaBeW3 | the Alexandria database | GGA-PBE | optimized geometry; values from VASP
&SYSTEM
  ibrav = 0, nat = 5, ntyp = 3
/
ATOMIC_SPECIES
La 138.91 La.upf
Be 9.01 Be.upf
W 183.84 W.upf
ATOMIC_POSITIONS angstrom
La 0.000 0.000 0.000
Be 2.418 2.418 2.418
W 0.000 0.000 2.418
W 0.000 2.418 0.000
W 2.418 0.000 0.000
CELL_PARAMETERS angstrom
4.836 0.000 0.000
0.000 4.836 0.000
0.000 0.000 4.836
! energy of formation: 3.28 eV/atom
! total DFT energy (no corrections): -6.23 eV per atom

***

Entry 7:
! SiAs2P | the Alexandria database | GGA-PBE | optimized geometry; values from VASP
&SYSTEM
  ibrav = 0, nat = 4, ntyp = 3
/
ATOMIC_SPECIES
Si 28.09 Si.upf
As 74.92 As.upf
P 30.97 P.upf
ATOMIC_POSITIONS angstrom
Si 0.000 0.000 0.000
As 1.661 0.000 2.269
As 1.661 0.000 6.821
P 0.000 0.000 4.545
CELL_PARAMETERS angstrom
1.661 -2.252 0.000
1.661 2.252 0.000
0.000 0.000 9.090
! total DFT energy (no corrections): -4.44 eV per atom
! energy relative to the elements, uncorrected: 0.597 eV per atom

***

Entry 8:
! AcCdPd2 | the Alexandria database | GGA-PBE | optimized geometry; values from VASP
&SYSTEM
  ibrav = 0, nat = 4, ntyp = 3
/
ATOMIC_SPECIES
Ac 227.00 Ac.upf
Cd 112.41 Cd.upf
Pd 106.42 Pd.upf
ATOMIC_POSITIONS angstrom
Ac 0.000 0.000 0.000
Cd 0.000 0.000 7.496
Pd 0.000 0.000 3.159
Pd 0.000 0.000 11.832
CELL_PARAMETERS angstrom
2.349 1.356 4.997
-2.349 1.356 4.997
0.000 -2.712 4.997
! energy of formation: -0.68 eV/atom
! total DFT energy (no corrections): -4.53 eV per atom